Crystalline ZrScGe2O8 at its relaxed geometry. Source: Alexandria, functional GGA-PBE.

Calculated values
formation energy (no corrections)	-2.280	eV per atom
DFT total energy	-7.59	eV/atom

abc: 6.7785 6.7785 6.3751
angles: 90.00 90.00 90.00
Closest atoms and distances in Å follow each position.
Space group I-4m2 (No. 119)
One atom of each set of equivalent atoms:
Zr 0.0000 0.0000 0.0000 (multiplicity 2)  8 O 2.14-2.34
Sc 0.0000 0.5000 0.7500 (multiplicity 2)  8 O 2.14-2.38
Ge 0.0000 0.0000 0.5000 (multiplicity 2)  4 O 1.77
Ge 0.0000 0.5000 0.2500 (multiplicity 2)  4 O 1.76
O 0.0000 0.1885 0.6920 (multiplicity 8)  1 Ge 1.77
O 0.0000 0.3094 0.0629 (multiplicity 8)  1 Ge 1.76

Crystalline SrCd2W at its relaxed geometry. Source: Alexandria, functional GGA-PBE.

Calculated values
distance to the lowest polymorph of the same formula	353	meV per atom
energy of formation from the pure elements	3.6	eV/f.u.
DFT total energy	-3.21	eV/atom

abc: 7.3314 7.3314 7.3314
angles: 90.00 90.00 90.00
Closest atoms and distances in Å follow each position.
Space group F-43m (No. 216)
One atom of each set of equivalent atoms:
Sr 0.0000 0.0000 0.0000 (multiplicity 4)  4 Cd 3.17, 4 W 3.17
Cd 0.0000 0.0000 0.5000 (multiplicity 4)  4 Cd 3.17, 4 W 3.17
Cd 0.2500 0.2500 0.7500 (multiplicity 4)  4 Sr 3.17, 4 Cd 3.17
W 0.2500 0.2500 0.2500 (multiplicity 4)  4 Cd 3.17, 4 Sr 3.17

Crystalline CrSi2Hg at its relaxed geometry. Source: Alexandria, functional GGA-PBE.

Calculated values
formation energy (no corrections)	0.298	eV per atom
DFT total energy	-4.89	eV/atom

abc: 8.0696 3.1420 5.2339
angles: 90.00 98.36 90.00
Closest atoms and distances in Å follow each position.
Space group C2/m (No. 12)
One atom of each set of equivalent atoms:
Cr 0.0000 0.0000 0.0000 (multiplicity 2)  6 Si 2.46-2.50
Si 0.2247 0.5000 0.1639 (multiplicity 4)  2 Si 2.40, 3 Cr 2.46-2.50
Hg 0.0000 0.5000 0.5000 (multiplicity 2)  2 Si 2.70

Crystalline CsCuGe2 at its relaxed geometry. Source: Alexandria, functional GGA-PBE.

Calculated values
distance to the lowest polymorph of the same formula	0	meV per atom
energy of formation from the pure elements	-0.2	eV/f.u.
DFT total energy	-3.60	eV/atom

abc: 4.1696 4.1696 21.4920
angles: 90.00 90.00 120.00
Closest atoms and distances in Å follow each position.
Space group R-3m (No. 166, hexagonal axes)
One atom of each set of equivalent atoms:
Cs 0.0000 0.0000 0.0000 (multiplicity 3)  6 Ge 3.69
Cu 0.0000 0.0000 0.5000 (multiplicity 3)  6 Ge 2.53
Ge 0.0000 0.0000 0.2032 (multiplicity 6)  3 Cu 2.53

Crystalline EuSbPb at its relaxed geometry. Source: Alexandria, functional GGA-PBE.

Calculated values
distance to the lowest polymorph of the same formula	13	meV per atom
formation energy (no corrections)	-0.428	eV per atom
DFT total energy	-6.46	eV/atom

abc: 4.5274 4.5274 9.5051
angles: 90.00 90.00 90.00
Closest atoms and distances in Å follow each position.
Space group I4mm (No. 107)
One atom of each set of equivalent atoms:
Eu 0.0000 0.0000 0.0000 (multiplicity 2)  5 Pb 3.22-3.55, 5 Sb 3.39-3.48
Sb 0.0000 0.0000 0.3563 (multiplicity 2)  1 Pb 2.90
Pb 0.0000 0.0000 0.6613 (multiplicity 2)  1 Sb 2.90, 1 Eu 3.22

Crystalline NaBiPS2 at its relaxed geometry. Source: Alexandria, functional GGA-PBE.

Calculated values
distance to the lowest polymorph of the same formula	0	meV per atom
formation energy (no corrections)	0.329	eV per atom
DFT total energy	-3.44	eV/atom

abc: 5.3516 5.3516 5.3920
angles: 90.00 90.00 90.00
Closest atoms and distances in Å follow each position.
Space group P4/mmm (No. 123)
One atom of each set of equivalent atoms:
Na 0.0000 0.0000 0.0000 (multiplicity 1)  4 P 3.78, 8 S 3.80
Bi 0.5000 0.5000 0.5000 (multiplicity 1)  4 S 2.68, 2 P 2.70
P 0.5000 0.5000 0.0000 (multiplicity 1)  2 Bi 2.70
S 0.0000 0.5000 0.5000 (multiplicity 2)  2 Bi 2.68

Crystalline Ti2CrP at its relaxed geometry. Source: Alexandria, functional GGA-PBE.

Calculated values
energy of formation from the pure elements	-0.1	eV/f.u.
DFT total energy	-7.72	eV/atom

abc: 7.0100 7.0100 5.1518
angles: 90.00 90.00 90.00
Closest atoms and distances in Å follow each position.
Space group I-42d (No. 122)
One atom of each set of equivalent atoms:
Ti 0.2198 0.2500 0.1250 (multiplicity 8)  2 P 2.42, 2 Ti 2.61, 2 Cr 2.71
Cr 0.0000 0.0000 0.5000 (multiplicity 4)  2 P 2.58, 4 Ti 2.71
P 0.0000 0.0000 0.0000 (multiplicity 4)  4 Ti 2.42, 2 Cr 2.58

Crystalline InCu6Au6 at its relaxed geometry. Source: Alexandria, functional GGA-PBE.

Calculated values
energy of formation from the pure elements	-0.2	eV/f.u.
DFT total energy	-3.63	eV/atom

abc: 5.1372 8.9220 9.0633
angles: 90.00 90.00 90.00
Closest atoms and distances in Å follow each position.
Space group Cmmm (No. 65)
One atom of each set of equivalent atoms:
In 0.0000 0.0000 0.0000 (multiplicity 2)  8 Au 2.97-3.05
Cu 0.0000 0.5000 0.2509 (multiplicity 4)  4 Cu 2.57, 6 Au 2.68-2.72
Cu 0.2500 0.2500 0.2510 (multiplicity 8)  4 Cu 2.57, 6 Au 2.69-2.72
Au 0.0000 0.0000 0.3368 (multiplicity 4)  6 Cu 2.68-2.69, 1 Au 2.96
Au 0.0000 0.3333 0.0000 (multiplicity 4)  6 Cu 2.72, 3 Au 2.97-2.98, 3 In 2.97
Au 0.0000 0.3335 0.5000 (multiplicity 4)  6 Cu 2.70, 3 Au 2.97

Crystalline BaSiW at its relaxed geometry. Source: Alexandria, functional GGA-PBE.

Calculated values
formation energy (no corrections)	1.261	eV per atom
DFT total energy	-5.51	eV/atom

abc: 6.7972 6.7972 6.7972
angles: 90.00 90.00 90.00
Closest atoms and distances in Å follow each position.
Space group F-43m (No. 216)
One atom of each set of equivalent atoms:
Ba 0.0000 0.0000 0.0000 (multiplicity 4)  4 Si 2.94
Si 0.2500 0.2500 0.2500 (multiplicity 4)  4 Ba 2.94, 4 W 2.94
W 0.0000 0.0000 0.5000 (multiplicity 4)  4 Si 2.94

Crystalline YFe2Pb at its relaxed geometry. Source: Alexandria, functional GGA-PBE.

Calculated values
energy of formation from the pure elements	0.6	eV/f.u.
DFT total energy	-6.63	eV/atom

abc: 3.7132 4.2561 9.9299
angles: 90.00 90.00 90.00
Closest atoms and distances in Å follow each position.
Space group Amm2 (No. 38)
One atom of each set of equivalent atoms:
Y 0.0000 0.0000 0.0000 (multiplicity 2)  7 Fe 2.91-2.94
Fe 0.0000 0.0000 0.2956 (multiplicity 2)  2 Fe 2.27
Fe 0.5000 0.0000 0.4278 (multiplicity 2)  2 Fe 2.27
Pb 0.5000 0.0000 0.7121 (multiplicity 2)  7 Fe 2.82-3.02

Crystalline BeCd2Pt at its relaxed geometry. Source: Alexandria, functional GGA-PBE.

Calculated values
energy of formation from the pure elements	0.5	eV/f.u.
DFT total energy	-2.78	eV/atom

abc: 5.4405 9.0818 2.8871
angles: 90.00 110.42 90.00
Closest atoms and distances in Å follow each position.
Space group C2/m (No. 12)
One atom of each set of equivalent atoms:
Be 0.0000 0.0000 0.0000 (multiplicity 2)  2 Pt 2.72, 4 Cd 2.78, 2 Be 2.89
Cd 0.2500 0.2500 0.5000 (multiplicity 4)  4 Cd 2.72-2.89, 2 Be 2.78, 2 Pt 2.78
Pt 0.0000 0.5000 0.0000 (multiplicity 2)  2 Be 2.72, 4 Cd 2.78, 2 Pt 2.89

Crystalline BaV2InCl at its relaxed geometry. Source: Alexandria, functional GGA-PBE.

Calculated values
formation energy (no corrections)	1.770	eV per atom
DFT total energy	-3.18	eV/atom

abc: 5.6826 5.6826 6.5923
angles: 90.00 90.00 90.00
Closest atoms and distances in Å follow each position.
Space group P4/mmm (No. 123)
One atom of each set of equivalent atoms:
Ba 0.0000 0.0000 0.0000 (multiplicity 1)  4 V 2.84
V 0.0000 0.5000 0.0000 (multiplicity 2)  2 Ba 2.84
In 0.0000 0.0000 0.5000 (multiplicity 1)  2 Ba 3.30
Cl 0.5000 0.5000 0.5000 (multiplicity 1)  4 In 4.02, 8 V 4.35